The following is a DFT calculation (PBE-GGA) of a relaxed structure of CeSnRh.

```
CeSnRh
1.0
3.3374 0.0000 0.0000
0.0000 3.3374 0.0000
-1.6687 -1.6687 5.7977
Rh Sn Ce
1 1 1
direct
0.9402 0.9402 0.8804 Rh
0.3087 0.3087 0.6174 Sn
0.6011 0.6011 0.2022 Ce
```

Summary:
Calculated density   9302 kg/m3
Density of states at the Fermi level   4.5 states/eV/cell
Formation energy from the elements   -604 meV per atom
Symmetry   No. 107